Computed, not measured: a relaxed structure of HfMgSi at the PBE level of DFT. Values from VASP.

Output
E_form (uncorrected) in meV/atom: -94
Symmetry: C2/m

Quantum ESPRESSO input file:
```
&SYSTEM
  ibrav = 0, nat = 12, ntyp = 3
/
ATOMIC_SPECIES
Hf 178.49 Hf.upf
Mg 24.30 Mg.upf
Si 28.09 Si.upf
ATOMIC_POSITIONS crystal
Hf 0.052 0.052 0.352
Hf 0.428 0.428 0.131
Hf 0.572 0.572 0.869
Hf 0.948 0.948 0.648
Mg 0.194 0.194 0.698
Mg 0.204 0.204 0.080
Mg 0.796 0.796 0.920
Mg 0.806 0.806 0.302
Si 0.395 0.395 0.832
Si 0.426 0.426 0.423
Si 0.574 0.574 0.577
Si 0.605 0.605 0.168
CELL_PARAMETERS angstrom
7.544 -1.861 0.000
7.544 1.861 0.000
-1.565 0.000 9.203
```


Computed, not measured: a relaxed structure of NaNbCo2 at the PBE level of DFT. Values from VASP.

Output
Energy above the most stable polymorph in this dataset in eV/atom: 0.000
Energy of formation from the pure elements in meV/atom: 505
Symmetry: Fm-3m

Quantum ESPRESSO input file:
```
&SYSTEM
  ibrav = 0, nat = 4, ntyp = 3
/
ATOMIC_SPECIES
Na 22.99 Na.upf
Nb 92.91 Nb.upf
Co 58.93 Co.upf
ATOMIC_POSITIONS crystal
Na 0.000 0.000 0.000
Nb 0.500 0.500 0.500
Co 0.250 0.250 0.250
Co 0.750 0.750 0.750
CELL_PARAMETERS angstrom
0.000 3.048 3.048
3.048 0.000 3.048
3.048 3.048 0.000
```


Computed, not measured: a relaxed structure of LiY2Te at the PBE level of DFT. Values from VASP.

Output
E_form (uncorrected) in meV/atom: -467
Energy above the most stable polymorph in this dataset in eV/atom: 0.217
Symmetry: I4/mmm

Quantum ESPRESSO input file:
```
&SYSTEM
  ibrav = 0, nat = 4, ntyp = 3
/
ATOMIC_SPECIES
Li 6.94 Li.upf
Y 88.91 Y.upf
Te 127.60 Te.upf
ATOMIC_POSITIONS crystal
Li 0.000 0.000 0.000
Y 0.250 0.750 0.500
Y 0.750 0.250 0.500
Te 0.500 0.500 0.000
CELL_PARAMETERS angstrom
-2.318 2.318 4.798
2.318 -2.318 4.798
2.318 2.318 -4.798
```


Computed, not measured: a relaxed structure of KCa2P at the PBE level of DFT. Values from VASP.

Output
Energy of formation from the pure elements in meV/atom: -431
Symmetry: P4mm

Quantum ESPRESSO input file:
```
&SYSTEM
  ibrav = 0, nat = 4, ntyp = 3
/
ATOMIC_SPECIES
K 39.10 K.upf
Ca 40.08 Ca.upf
P 30.97 P.upf
ATOMIC_POSITIONS crystal
K 0.000 0.000 0.000
Ca 0.000 0.000 0.369
Ca 0.500 0.500 0.636
P 0.500 0.500 0.328
CELL_PARAMETERS angstrom
4.075 0.000 0.000
0.000 4.075 0.000
0.000 0.000 8.998
```


Computed, not measured: a relaxed structure of Mg3Ni9SbAs2 at the PBE level of DFT. Values from VASP.

Output
E_form (uncorrected) in meV/atom: 0
Symmetry: P-3m1

Quantum ESPRESSO input file:
```
&SYSTEM
  ibrav = 0, nat = 15, ntyp = 4
/
ATOMIC_SPECIES
Mg 24.30 Mg.upf
Ni 58.69 Ni.upf
Sb 121.76 Sb.upf
As 74.92 As.upf
ATOMIC_POSITIONS crystal
Mg 0.000 0.000 0.000
Mg 0.333 0.667 0.751
Mg 0.667 0.333 0.249
Ni 0.000 0.500 0.000
Ni 0.134 0.267 0.259
Ni 0.134 0.866 0.259
Ni 0.267 0.134 0.741
Ni 0.500 0.000 0.000
Ni 0.500 0.500 0.000
Ni 0.733 0.866 0.259
Ni 0.866 0.134 0.741
Ni 0.866 0.733 0.741
Sb 0.000 0.000 0.500
As 0.333 0.667 0.179
As 0.667 0.333 0.821
CELL_PARAMETERS angstrom
5.931 0.000 0.000
-2.966 5.137 0.000
0.000 0.000 8.605
```


Computed, not measured: a relaxed structure of Sr2YTe at the PBE level of DFT. Values from VASP.

Output
E_form (uncorrected) in meV/atom: -526
Symmetry: R-3m

Quantum ESPRESSO input file:
```
&SYSTEM
  ibrav = 0, nat = 4, ntyp = 3
/
ATOMIC_SPECIES
Sr 87.62 Sr.upf
Y 88.91 Y.upf
Te 127.60 Te.upf
ATOMIC_POSITIONS crystal
Sr 0.233 0.233 0.233
Sr 0.767 0.767 0.767
Y 0.000 0.000 0.000
Te 0.500 0.500 0.500
CELL_PARAMETERS angstrom
2.121 1.225 10.808
-2.121 1.225 10.808
0.000 -2.450 10.808
```


Computed, not measured: a relaxed structure of BeRuSe2 at the PBE level of DFT. Values from VASP.

Output
E_form (uncorrected) in meV/atom: 372
Symmetry: P4/mmm

Quantum ESPRESSO input file:
```
&SYSTEM
  ibrav = 0, nat = 4, ntyp = 3
/
ATOMIC_SPECIES
Be 9.01 Be.upf
Ru 101.07 Ru.upf
Se 78.96 Se.upf
ATOMIC_POSITIONS crystal
Be 0.000 0.000 0.000
Ru 0.500 0.500 0.000
Se 0.000 0.500 0.500
Se 0.500 0.000 0.500
CELL_PARAMETERS angstrom
4.433 0.000 0.000
0.000 4.433 0.000
0.000 0.000 3.079
```


Computed, not measured: a relaxed structure of CeGe2BRu2 at the PBE level of DFT. Values from VASP.

Output
Energy of formation from the pure elements in meV/atom: -538
Symmetry: P4/mmm

Quantum ESPRESSO input file:
```
&SYSTEM
  ibrav = 0, nat = 6, ntyp = 4
/
ATOMIC_SPECIES
Ce 140.12 Ce.upf
Ge 72.64 Ge.upf
B 10.81 B.upf
Ru 101.07 Ru.upf
ATOMIC_POSITIONS crystal
Ce 0.000 0.000 0.000
Ge 0.500 0.500 0.223
Ge 0.500 0.500 0.777
B 0.000 0.000 0.500
Ru 0.000 0.500 0.500
Ru 0.500 0.000 0.500
CELL_PARAMETERS angstrom
4.179 0.000 0.000
0.000 4.179 0.000
0.000 0.000 5.543
```


Results for density of states at the Fermi level: 0.46 0.51 0.74 0.63 0.60 1.14 0.67 1.17 (in states/eV per atom, following the order of the records).
Results for magnetization: 0.00 0.00 0.54 0.11 0.00 1.08 0.00 0.73 (in μB per formula unit, following the order of the records).